Compound: BaMg2FeNi
Source: Alexandria via LeMat-Bulk
Functional: PBE
Structure: relaxed

a b c (Å): 5.9182 4.6780 5.9182
angles (deg): 90.00 90.00 90.00
Last column: magnetic moment on the atom in μB.
Sites, in units of the cell vectors:
Mg 0.5000 0.0000 0.0000  -0.01
Mg 0.0000 0.0000 0.5000  -0.01
Ni 0.5000 0.5000 0.5000  0.78
Ba 0.0000 0.0000 0.0000  -0.02
Fe 0.0000 0.5000 0.0000  0.13

Computed properties:
As for the energy of formation: 2113 meV per atom.